[1]
# U2Tl2SnSe6

U2Tl2SnSe6 after structural relaxation (GGA-PBE, Alexandria via LeMat-Bulk).

abc: 7.3355 7.3355 8.0233
angles: 98.26 98.26 119.89
Last column: nearest neighbours and their distance in Å.
Fractional positions:
U1 0.3337 0.6663 0.5000  6 Se 2.84-2.85
U2 0.6663 0.3337 0.5000  6 Se 2.84-2.85
Se1 0.9367 0.5833 0.2965  2 U 2.85, 1 Sn 3.03
Tl1 0.8391 0.1609 0.0000  6 Se 3.31-3.39
Se2 0.7110 0.7110 0.7015  2 U 2.84, 1 Sn 3.02
Sn1 0.0000 0.0000 0.5000  6 Se 3.02-3.03
Se3 0.2890 0.2890 0.2985  2 U 2.84, 1 Sn 3.02
Se4 0.0633 0.4167 0.7035  2 U 2.85, 1 Sn 3.03
Se5 0.4167 0.0633 0.7035  2 U 2.85, 1 Sn 3.03
Se6 0.5833 0.9367 0.2965  2 U 2.85, 1 Sn 3.03
Tl2 0.1609 0.8391 0.0000  6 Se 3.31-3.39

[2]
# U3Tl4SnSe8

U3Tl4SnSe8 after structural relaxation (GGA-PBE, Alexandria via LeMat-Bulk).

abc: 8.5000 9.1634 8.5021
angles: 117.68 119.99 90.00
Last column: nearest neighbours and their distance in Å.
Fractional positions:
Se1 0.7348 0.7043 0.4697  3 U 2.92
U1 0.0000 0.5000 0.5000  6 Se 2.89-2.92
U2 0.5000 0.5000 0.0000  6 Se 2.89-2.92
Se2 0.7240 0.7054 0.9647  2 U 2.89, 1 Sn 2.99
Tl1 0.0000 0.0000 0.0000  6 Se 3.35-3.38
Se3 0.2408 0.7054 0.9647  2 U 2.89, 1 Sn 2.99
Se4 0.2652 0.2957 0.5303  3 U 2.92
Tl2 0.0000 0.0000 0.5000  6 Se 3.36-3.38
Tl3 0.5000 0.0000 0.5000  6 Se 3.36-3.38
Se5 0.7592 0.2947 0.5184  2 U 2.89, 1 Sn 2.99
Tl4 0.5000 0.0000 0.0000  6 Se 3.29
Se6 0.7592 0.2946 0.0353  2 U 2.89, 1 Sn 2.99
Se7 0.2760 0.2946 0.0353  2 U 2.89, 1 Sn 2.99
U3 0.5000 0.5000 0.5000  6 Se 2.89-2.92
Se8 0.2408 0.7053 0.4816  2 U 2.89, 1 Sn 2.99
Sn1 0.0000 0.5000 0.0000  6 Se 2.99

[3]
# UTl2SnSe4

UTl2SnSe4 after structural relaxation (GGA-PBE, Alexandria via LeMat-Bulk).

abc: 4.2593 7.9747 7.5129
angles: 72.60 90.00 90.00
Last column: nearest neighbours and their distance in Å.
Fractional positions:
Se1 0.0000 0.2933 0.2558  1 U 2.81, 2 Sn 3.01
U1 0.0000 0.5000 0.5000  6 Se 2.81-2.88
Tl1 0.5000 0.0000 0.5000  6 Se 3.27-3.29
Se2 0.5000 0.2964 0.7213  2 U 2.88, 1 Sn 3.01
Sn1 0.5000 0.5000 0.0000  6 Se 3.01
Se3 0.5000 0.7036 0.2787  2 U 2.88, 1 Sn 3.01
Se4 0.0000 0.7067 0.7442  1 U 2.81, 2 Sn 3.01
Tl2 0.0000 0.0000 0.0000  6 Se 3.40-3.44

[4]
# UTl3Sn3Se8

UTl3Sn3Se8 after structural relaxation (GGA-PBE, Alexandria via LeMat-Bulk).

abc: 8.4722 8.4663 9.0578
angles: 117.83 90.00 120.02
Last column: nearest neighbours and their distance in Å.
Fractional positions:
Sn1 0.0000 0.5000 0.5000  6 Se 2.97-2.98
Se1 0.7408 0.4816 0.7224  3 Sn 2.98, 3 Tl 3.23
Se2 0.7591 0.9797 0.7001  1 U 2.72, 2 Sn 2.97
Se3 0.7795 0.5591 0.3000  1 U 2.72, 2 Sn 2.97
Sn2 0.5000 0.5000 0.5000  6 Se 2.97-2.98
Se4 0.2205 0.4409 0.7000  1 U 2.72, 2 Sn 2.97
U1 0.0000 0.0000 0.5000  6 Se 2.72
Tl1 0.5000 0.5000 0.0000  6 Se 3.23-3.28
Tl2 0.0000 0.5000 0.0000  6 Se 3.23-3.28
Se5 0.7794 0.0203 0.2999  1 U 2.72, 2 Sn 2.97
Se6 0.2206 0.9797 0.7001  1 U 2.72, 2 Sn 2.97
Tl3 0.0000 0.0000 0.0000  6 Se 3.23-3.28
Se7 0.2592 0.5184 0.2776  3 Sn 2.98, 3 Tl 3.23
Se8 0.2409 0.0203 0.2999  1 U 2.72, 2 Sn 2.97
Sn3 0.5000 0.0000 0.5000  6 Se 2.97-2.98

[5]
# Tl2V2SnSe6

Tl2V2SnSe6 after structural relaxation (GGA-PBE, Alexandria via LeMat-Bulk).

abc: 6.5825 6.5825 7.8942
angles: 96.32 96.32 118.61
Last column: nearest neighbours and their distance in Å.
Fractional positions:
V1 0.3485 0.6515 0.5000  6 Se 2.49-2.63
V2 0.6515 0.3485 0.5000  6 Se 2.49-2.63
Se1 0.6856 0.6856 0.7038  2 V 2.49
Se2 0.0471 0.4188 0.6815  2 V 2.56-2.63, 1 Sn 2.82
Se3 0.9529 0.5812 0.3185  2 V 2.56-2.63, 1 Sn 2.82
Se4 0.4188 0.0471 0.6815  2 V 2.56-2.63, 1 Sn 2.82
Se5 0.5812 0.9529 0.3185  2 V 2.56-2.63, 1 Sn 2.82
Sn1 0.0000 0.0000 0.5000  6 Se 2.82-2.92
Se6 0.3144 0.3144 0.2962  2 V 2.49
Tl1 0.1646 0.8354 0.0000  6 Se 3.23-3.36
Tl2 0.8354 0.1646 0.0000  6 Se 3.23-3.36

[6]
# YTlSnSe3

YTlSnSe3 after structural relaxation (GGA-PBE, Alexandria via LeMat-Bulk).

abc: 4.1428 8.8356 11.3162
angles: 90.00 90.00 103.56
Last column: nearest neighbours and their distance in Å.
Fractional positions:
Sn1 0.3687 0.7374 0.7500  4 Se 2.77-2.99
Se1 0.0243 0.0486 0.2500  2 Sn 2.77, 2 Y 2.86
Se2 0.9757 0.9514 0.7500  2 Sn 2.77, 2 Y 2.86
Y1 0.0000 0.0000 0.5000  6 Se 2.86-2.87
Tl1 0.2998 0.5997 0.2500  2 Se 3.05
Se3 0.3848 0.7697 0.4868  2 Y 2.87, 1 Sn 2.99, 1 Tl 3.05
Se4 0.6152 0.2303 0.9868  2 Y 2.87, 1 Sn 2.99, 1 Tl 3.05
Se5 0.6152 0.2303 0.5132  2 Y 2.87, 1 Sn 2.99, 1 Tl 3.05
Se6 0.3848 0.7697 0.0132  2 Y 2.87, 1 Sn 2.99, 1 Tl 3.05
Sn2 0.6313 0.2626 0.2500  4 Se 2.77-2.99
Tl2 0.7002 0.4003 0.7500  2 Se 3.05
Y2 0.0000 0.0000 0.0000  6 Se 2.86-2.87

ΔE_f (raw) in eV/atom, matching the order above: -0.853, -0.803, -0.722, -0.588, -0.526, -0.963
Calculated volume in Å³/cell, matching the order above: 358.6, 484.1, 243.5, 473.7, 293.2, 402.7